Entry from Alexandria: a relaxed structure of As3PRh (PBE).

Cell lengths 4.6062, 4.6062, 4.6062 Å; angles 90.00, 90.00, 90.00 degrees
Fractional coordinates of all 5 atoms:
As: 0.0000 0.0000 0.5000
As: 0.0000 0.5000 0.0000
As: 0.5000 0.0000 0.0000
P: 0.0000 0.0000 0.0000
Rh: 0.5000 0.5000 0.5000

SG: Pm-3m
Calculated formation energy in eV per atom: 0.865
Offset from the most stable computed form in meV/atom: 122